No. 1
First-principles (PBE) data for a relaxed structure of Ag7Te, as listed in Alexandria via LeMat-Bulk.

a b c (Å): 6.022 6.022 6.022
angles (deg): 60.00 60.00 60.00
Sites, in units of the cell vectors:
Ag: 0.000 0.000 0.000
Ag: 0.000 0.000 0.500
Ag: 0.000 0.500 0.000
Ag: 0.000 0.500 0.500
Ag: 0.500 0.000 0.000
Ag: 0.500 0.000 0.500
Ag: 0.500 0.500 0.000
Te: 0.500 0.500 0.500

Calculated values
For the volume, the calculation gives 19.30 Å³/atom. As for the crystal system: cubic.



No. 2
First-principles (PBE) data for a relaxed structure of AgTe, as listed in Alexandria via LeMat-Bulk.

a b c (Å): 5.256 8.235 5.165
angles (deg): 90.00 90.00 90.00
Sites, in units of the cell vectors:
Ag: 0.000 0.096 0.250
Ag: 0.000 0.904 0.750
Ag: 0.500 0.404 0.750
Ag: 0.500 0.596 0.250
Te: 0.000 0.255 0.750
Te: 0.000 0.745 0.250
Te: 0.500 0.245 0.250
Te: 0.500 0.755 0.750

Calculated values
For the volume, the calculation gives 27.95 Å³/atom. As for the crystal system: orthorhombic.



Short version: electronic total energy = -22.57 -24.03 eV/cell, in the order given.
Short version: spin magnetization = 0.00 0.00 μB/cell, in the order given.
Short version: formation energy (no corrections) = 0.07 -0.01 eV per atom, in the order given.